[1]
ReHg2Ir meta-GGA SCAN single point on PBEsol structure; total magnetization = 2.394 Bohr magnetons per cell
1.0
4.5712 0.0000 0.0000
2.2856 3.9588 0.0000
2.2856 1.3196 3.7324
Hg Ir Re
2 1 1
direct
0.2500 0.2500 0.2500
0.7500 0.7500 0.7500
0.0000 0.0000 0.0000
0.5000 0.5000 0.5000



[2]
ReHgIr meta-GGA SCAN single point on PBEsol structure; total magnetization = 0.000 Bohr magnetons per cell
1.0
4.2717 0.0000 0.0000
2.1359 3.6994 0.0000
2.1359 1.2331 3.4878
Hg Ir Re
1 1 1
direct
0.5000 0.5000 0.5000
0.2500 0.2500 0.2500
0.0000 0.0000 0.0000



Per-record final energy, eV/atom: -68.52; -69.42